A relaxed TiVSbS2 crystal. Source: Alexandria via LeMat-Bulk, functional PBE-GGA.

The formation energy without anion corrections comes out at 0.263 eV per atom. Its calculated density is 4.11 g cm⁻³. The value obtained for the density of states at the Fermi level is 9.6 states/eV per cell.

It has space group P4/mmm (No. 123), with a = 4.5290 Å, b = 4.5290 Å, c = 5.6117 Å, α = 90.00°, β = 90.00° and γ = 90.00°. Symmetry generates all atoms from Ti at (0.0000, 0.0000, 0.0000), V at (0.5000, 0.5000, 0.5000), Sb at (0.0000, 0.0000, 0.5000) and S at (0.0000, 0.5000, 0.0000).

=====

A relaxed Tl3Sb2S4 crystal. Source: Alexandria via LeMat-Bulk, functional PBE-GGA.

The energy above the most stable polymorph in this dataset is 0 meV/atom. The formation energy without anion corrections comes out at -0.215 eV per atom. Its calculated density is 5.73 g cm⁻³. The value obtained for the density of states at the Fermi level is 7.1 states/eV per cell.

It has space group C2/c (No. 15), with a = 13.3941 Å, b = 11.8652 Å, c = 7.2254 Å, α = 90.00°, β = 95.74° and γ = 90.00°. Symmetry generates all atoms from Tl at (0.0000, 0.1385, 0.2500), Tl at (0.1322, 0.3944, 0.9188), Sb at (0.1695, 0.1466, 0.6553), S at (0.1510, 0.0594, 0.9669) and S at (0.1508, 0.3515, 0.3427).

=====

A relaxed Tl3Sb4S8 crystal. Source: Alexandria via LeMat-Bulk, functional PBE-GGA.

The formation energy without anion corrections comes out at -0.175 eV per atom. Its calculated density is 5.84 g cm⁻³. The value obtained for the density of states at the Fermi level is 5.4 states/eV per cell.

It has space group C2/m (No. 12), with a = 11.5219 Å, b = 11.5101 Å, c = 8.0661 Å, α = 90.00°, β = 133.84° and γ = 90.00°. Symmetry generates all atoms from Tl at (0.0000, 0.0000, 0.0000), Tl at (0.2500, 0.2500, 0.0000), Sb at (0.0000, 0.5000, 0.0000), Sb at (0.0000, 0.5000, 0.5000), Sb at (0.2500, 0.2500, 0.5000), S at (0.0000, 0.2570, 0.5000), S at (0.0000, 0.2602, 0.0000), S at (0.2259, 0.5000, 0.9769) and S at (0.2330, 0.5000, 0.4766).

=====

A relaxed TlSb2S2 crystal. Source: Alexandria via LeMat-Bulk, functional PBE-GGA.

The energy above the most stable polymorph in this dataset is 0 meV/atom. The formation energy without anion corrections comes out at -0.016 eV per atom. Its calculated density is 5.95 g cm⁻³. The value obtained for the density of states at the Fermi level is 4.7 states/eV per cell.

It has space group I4/mmm (No. 139), with a = 5.4006 Å, b = 5.4006 Å, c = 9.7964 Å, α = 90.00°, β = 90.00° and γ = 90.00°. Symmetry generates all atoms from Tl at (0.0000, 0.0000, 0.0000), Sb at (0.0000, 0.0000, 0.3208) and S at (0.0000, 0.5000, 0.2500).

=====

A relaxed Tl3SbS crystal. Source: Alexandria via LeMat-Bulk, functional PBE-GGA.

The energy above the most stable polymorph in this dataset is 392 meV/atom. The formation energy without anion corrections comes out at 0.229 eV per atom. Its calculated density is 7.51 g cm⁻³. The value obtained for the density of states at the Fermi level is 3.3 states/eV per cell.

It has space group Pm-3m (No. 221), with a = 5.5359 Å, b = 5.5359 Å, c = 5.5359 Å, α = 90.00°, β = 90.00° and γ = 90.00°. Symmetry generates all atoms from Tl at (0.0000, 0.0000, 0.5000), Sb at (0.5000, 0.5000, 0.5000) and S at (0.0000, 0.0000, 0.0000).

=====

A relaxed Tl2Sb2S5 crystal. Source: Alexandria via LeMat-Bulk, functional PBE-GGA.

The energy above the most stable polymorph in this dataset is 21 meV/atom. The formation energy without anion corrections comes out at -0.170 eV per atom. Its calculated density is 5.06 g cm⁻³.

It has space group C2/m (No. 12), with a = 13.8763 Å, b = 5.5409 Å, c = 7.3790 Å, α = 90.00°, β = 110.03° and γ = 90.00°. Symmetry generates all atoms from Tl at (0.1090, 0.0000, 0.3260), Sb at (0.1499, 0.5000, 0.8677), S at (0.0000, 0.5000, 0.0000), S at (0.1519, 0.5000, 0.5500) and S at (0.1681, 0.0000, 0.9196).